1.
! Ga2SnPd2 (PBE, relaxed); values from VASP
! Fermi-level density of states (states/eV per atom): 0.383
! VASP energy (eV/atom): -4.41
! E above lowest polymorph (meV/atom): 86.0
&SYSTEM
  ibrav = 0, nat = 5, ntyp = 3
/
ATOMIC_SPECIES
Ga 69.72 Ga.upf
Sn 118.71 Sn.upf
Pd 106.42 Pd.upf
CELL_PARAMETERS angstrom
-2.153 2.153 5.142
2.153 -2.153 5.142
2.153 2.153 -5.142
ATOMIC_POSITIONS angstrom
Ga 0.000 0.000 1.245
Ga 0.000 0.000 9.039
Sn 0.000 0.000 5.142
Pd 2.153 0.000 2.571
Pd 0.000 2.153 2.571



2.
! LaNdMgTc (PBE, relaxed); values from VASP
! Fermi-level density of states (states/eV per atom): 0.617
! VASP energy (eV/atom): -5.30
&SYSTEM
  ibrav = 0, nat = 4, ntyp = 4
/
ATOMIC_SPECIES
La 138.91 La.upf
Nd 144.24 Nd.upf
Mg 24.30 Mg.upf
Tc 98.00 Tc.upf
CELL_PARAMETERS angstrom
0.000 3.697 3.697
3.697 0.000 3.697
3.697 3.697 0.000
ATOMIC_POSITIONS angstrom
La 0.000 0.000 0.000
Nd 3.697 3.697 3.697
Mg 5.545 5.545 5.545
Tc 1.848 1.848 1.848



3.
! Pm2ErPa2Co5 (PBE, relaxed); values from VASP
! Fermi-level density of states (states/eV per atom): 0.542
! VASP energy (eV/atom): -6.97
&SYSTEM
  ibrav = 0, nat = 20, ntyp = 4
/
ATOMIC_SPECIES
Pm 145.00 Pm.upf
Er 167.26 Er.upf
Pa 231.04 Pa.upf
Co 58.93 Co.upf
CELL_PARAMETERS angstrom
10.593 0.000 0.000
0.000 10.593 0.000
0.000 0.000 3.469
ATOMIC_POSITIONS angstrom
Pm 1.835 3.461 0.000
Pm 3.461 8.757 0.000
Pm 7.132 1.835 0.000
Pm 8.757 7.132 0.000
Er 0.000 0.000 0.000
Er 5.296 5.296 0.000
Pa 1.426 6.722 0.000
Pa 3.870 1.426 0.000
Pa 6.722 9.167 0.000
Pa 9.167 3.870 0.000
Co 0.000 5.296 1.735
Co 0.455 8.244 1.735
Co 2.348 0.455 1.735
Co 2.948 5.752 1.735
Co 4.841 2.948 1.735
Co 5.296 0.000 1.735
Co 5.752 7.645 1.735
Co 7.645 4.841 1.735
Co 8.244 10.137 1.735
Co 10.137 2.348 1.735



4.
! Pm2Sm5Dy12 (PBE, relaxed); values from VASP
! Fermi-level density of states (states/eV per atom): 1.358
! VASP energy (eV/atom): -4.59
! E above lowest polymorph (meV/atom): 0.0
&SYSTEM
  ibrav = 0, nat = 19, ntyp = 3
/
ATOMIC_SPECIES
Pm 145.00 Pm.upf
Sm 150.36 Sm.upf
Dy 162.50 Dy.upf
CELL_PARAMETERS angstrom
6.281 0.000 0.000
1.638 8.747 0.000
1.977 4.007 11.275
ATOMIC_POSITIONS angstrom
Pm 1.659 0.285 0.737
Pm 8.238 12.469 10.538
Sm 3.915 9.753 11.193
Sm 3.035 3.491 5.517
Sm 4.949 6.377 5.637
Sm 6.863 9.262 5.758
Sm 5.982 3.001 0.082
Dy 1.844 6.338 3.682
Dy 3.743 9.317 7.530
Dy 3.614 9.308 4.056
Dy 3.300 3.487 8.862
Dy 2.944 3.270 1.990
Dy 4.863 6.617 9.440
Dy 5.035 6.137 1.835
Dy 6.953 9.483 9.285
Dy 6.598 9.266 2.413
Dy 6.284 3.445 7.218
Dy 6.154 3.437 3.745
Dy 8.053 6.415 7.593



5.
! Sc8InGa2 (PBE, relaxed); values from VASP
! Fermi-level density of states (states/eV per atom): 1.032
! VASP energy (eV/atom): -5.70
! E above lowest polymorph (meV/atom): 0.0
&SYSTEM
  ibrav = 0, nat = 11, ntyp = 3
/
ATOMIC_SPECIES
Sc 44.96 Sc.upf
In 114.82 In.upf
Ga 69.72 Ga.upf
CELL_PARAMETERS angstrom
-2.300 3.839 6.935
2.300 -3.839 6.935
2.300 3.839 -6.935
ATOMIC_POSITIONS angstrom
Sc 2.300 2.194 -2.226
Sc 0.000 0.000 2.090
Sc 0.000 2.346 0.000
Sc 2.300 2.194 2.226
Sc 0.000 1.645 4.710
Sc 0.000 5.332 0.000
Sc 0.000 0.000 11.781
Sc 0.000 1.645 9.161
In 2.300 0.000 0.000
Ga 2.300 0.000 4.259
Ga 0.000 3.839 2.676



6.
! PIrOsS2 (PBE, relaxed); values from VASP
! Fermi-level density of states (states/eV per atom): 1.406
! ΔE_f (raw) (eV/atom): 1.276
! VASP energy (eV/atom): -5.47
! E above lowest polymorph (meV/atom): 0.0
&SYSTEM
  ibrav = 0, nat = 5, ntyp = 4
/
ATOMIC_SPECIES
P 30.97 P.upf
Ir 192.22 Ir.upf
Os 190.23 Os.upf
S 32.06 S.upf
CELL_PARAMETERS angstrom
4.528 0.000 0.000
0.000 4.528 0.000
0.000 0.000 4.547
ATOMIC_POSITIONS angstrom
P 0.000 0.000 0.000
Ir 2.264 2.264 0.000
Os 0.000 0.000 2.273
S 0.000 2.264 2.273
S 2.264 0.000 2.273



7.
! Ba6PdRh2Cl3 (PBE, relaxed); values from VASP
! Fermi-level density of states (states/eV per atom): 0.307
! ΔE_f (raw) (eV/atom): -1.101
! VASP energy (eV/atom): -4.18
&SYSTEM
  ibrav = 0, nat = 12, ntyp = 4
/
ATOMIC_SPECIES
Ba 137.33 Ba.upf
Pd 106.42 Pd.upf
Rh 102.91 Rh.upf
Cl 35.45 Cl.upf
CELL_PARAMETERS angstrom
3.924 -6.797 0.000
3.924 6.797 0.000
-2.619 0.000 7.948
ATOMIC_POSITIONS angstrom
Ba -0.050 2.348 6.192
Ba 1.213 0.000 1.764
Ba -0.050 -2.348 6.192
Ba 5.278 2.348 1.755
Ba 4.016 0.000 6.184
Ba 5.278 -2.348 1.755
Pd 3.924 0.000 0.000
Rh 3.924 4.533 0.000
Rh 3.924 -4.533 0.000
Cl -1.310 0.000 3.974
Cl 2.614 2.266 3.974
Cl 2.614 -2.266 3.974



8.
! La3CoPb (PBE, relaxed); values from VASP
! Fermi-level density of states (states/eV per atom): 1.012
! VASP energy (eV/atom): -5.51
! E above lowest polymorph (meV/atom): 4.1
&SYSTEM
  ibrav = 0, nat = 10, ntyp = 3
/
ATOMIC_SPECIES
La 138.91 La.upf
Co 58.93 Co.upf
Pb 207.20 Pb.upf
CELL_PARAMETERS angstrom
7.600 0.000 0.000
-3.800 6.581 0.000
0.000 0.000 5.823
ATOMIC_POSITIONS angstrom
La -1.784 5.412 1.456
La 0.005 2.331 1.456
La 2.021 1.161 4.368
La 1.779 5.420 1.456
La 3.795 4.250 4.368
La 5.583 1.170 4.368
Co 0.000 0.000 0.000
Co 0.000 0.000 2.912
Pb 0.000 4.388 4.368
Pb 3.800 2.194 1.456